<A>
VASP calculation (SCAN) on a PBEsol-optimized structure of Y4Zr3O12.

The total magnetization comes out at 0.000 μB per atom. The mass density is 5.6 g/cm³.

Unit cell a=6.3444 b=6.3483 c=6.3519 alpha=98.78 beta=99.28 gamma=99.70
Element x y z (fractional)
Y 0.3924 0.8620 0.6931
Y 0.8606 0.6890 0.3932
Y 0.3026 0.6101 0.1393
Y 0.6943 0.3897 0.8625
O 0.0571 0.9311 0.6855
O 0.9281 0.6878 0.0567
O 0.5745 0.8370 0.4133
O 0.0722 0.3153 0.9239
O 0.9468 0.0923 0.3195
O 0.4179 0.1831 0.5601
O 0.8235 0.3929 0.5616
O 0.5790 0.4188 0.1873
O 0.1788 0.5653 0.4376
O 0.3208 0.9624 0.0912
O 0.6824 0.0556 0.9436
O 0.4076 0.5588 0.8173
Zr 0.0041 0.0028 0.0011
Zr 0.6155 0.1385 0.3031
Zr 0.1417 0.3077 0.6100



<B>
VASP calculation (SCAN) on a PBEsol-optimized structure of Y4Zr3O12.

The total magnetization comes out at 0.000 μB per atom. The mass density is 5.5 g/cm³.

Unit cell a=6.2780 b=6.3385 c=6.5094 alpha=99.81 beta=98.53 gamma=99.59
Element x y z (fractional)
Y 0.3032 0.1348 0.6104
Y 0.6141 0.3016 0.1347
Y 0.6968 0.8652 0.3896
Y 0.3859 0.6984 0.8653
O 0.6848 0.9346 0.0594
O 0.9225 0.0861 0.6942
O 0.0775 0.9139 0.3058
O 0.3152 0.0654 0.9406
O 0.0230 0.6783 0.8842
O 0.5849 0.4164 0.8206
O 0.4115 0.8120 0.5653
O 0.1720 0.4309 0.5753
O 0.5885 0.1880 0.4347
O 0.8280 0.5691 0.4247
O 0.9770 0.3217 0.1158
O 0.4151 0.5836 0.1794
Zr 0.0000 0.0000 0.0000
Zr 0.8486 0.3960 0.6702
Zr 0.1514 0.6040 0.3298



The least stable of them is <A>.



<A>
VASP calculation (SCAN) on a PBEsol-optimized structure of POs3.

The total magnetization comes out at 0.251 μB per atom. The mass density is 18.0 g/cm³.

Unit cell a=2.7605 b=2.7615 c=8.4231 alpha=90.00 beta=90.00 gamma=119.99
Each line ends with the local moment (μB).
Element x y z (fractional)
Os 0.0000 0.0000 0.2742  0.13
Os 0.5000 0.0000 0.0000  0.69
Os 0.0000 0.0000 0.7258  0.13
P 0.5000 0.0000 0.5000  -0.01



<B>
VASP calculation (SCAN) on a PBEsol-optimized structure of POs3.

The total magnetization comes out at 0.000 μB per atom. The mass density is 18.6 g/cm³.

Unit cell a=2.8346 b=4.3376 c=5.0696 alpha=115.33 beta=106.23 gamma=90.00
Element x y z (fractional)
Os 0.2858 0.2170 0.5716
Os 0.5000 0.9236 0.0000
Os 0.7142 0.6454 0.4284
P 0.0000 0.3807 0.0000



<C>
VASP calculation (SCAN) on a PBEsol-optimized structure of POs3.

The total magnetization comes out at 0.000 μB per atom. The mass density is 18.5 g/cm³.

Unit cell a=2.7922 b=3.8901 c=5.1370 alpha=90.00 beta=104.50 gamma=90.00
Element x y z (fractional)
Os 0.5000 0.5000 0.5000
Os 0.1375 0.0000 0.7645
Os 0.8625 0.0000 0.2355
P 0.5000 0.5000 0.0000



The least stable of them is <A>.